TbEr3Fe | Alexandria via LeMat-Bulk | GGA-PBE | optimized geometry; formation enthalpy at 0 K = 1.4 kJ per mole of atoms; energy relative to the lowest polymorph listed for this composition = 0.000 eV per atom
1.0
3.5875 0.0000 0.0000
0.0000 7.8336 -4.6679
0.0000 -1.1204 10.3337
Er Tb Fe
6 2 2
direct
0.7500 0.2080 0.0103
0.2500 0.6128 0.2873
0.7500 0.9624 0.3359
0.7500 0.3872 0.7127
0.2500 0.7920 0.9897
0.2500 0.0376 0.6641
0.2500 0.2991 0.3621
0.7500 0.7009 0.6379
0.2500 0.4083 0.9418
0.7500 0.5917 0.0582